1.
A plane-wave DFT calculation with PBE was carried out for a geometry-optimized Th7Tc3 structure.

```
data_Th7Tc3
_chemical_formula_sum 'Th14 Tc6'
_space_group_name_H-M_alt 'P 1'
_space_group_IT_number 1
_cell_length_a 9.952
_cell_length_b 9.952
_cell_length_c 6.338
_cell_angle_alpha 90.00
_cell_angle_beta 90.00
_cell_angle_gamma 120.00
loop_
_space_group_symop_operation_xyz
'x,y,z'
loop_
_atom_site_label
_atom_site_type_symbol
_atom_site_fract_x
_atom_site_fract_y
_atom_site_fract_z
_atom_site_occupancy
Th1 Th 0.079 0.540 0.000 1
Th2 Th 0.125 0.249 0.292 1
Th3 Th 0.125 0.875 0.292 1
Th4 Th 0.249 0.125 0.792 1
Th5 Th 0.333 0.667 0.516 1
Th6 Th 0.460 0.540 0.000 1
Th7 Th 0.460 0.921 0.000 1
Th8 Th 0.540 0.079 0.500 1
Th9 Th 0.540 0.460 0.500 1
Th10 Th 0.667 0.333 0.016 1
Th11 Th 0.751 0.875 0.292 1
Th12 Th 0.875 0.125 0.792 1
Th13 Th 0.875 0.751 0.792 1
Th14 Th 0.921 0.460 0.500 1
Tc1 Tc 0.184 0.369 0.751 1
Tc2 Tc 0.184 0.816 0.751 1
Tc3 Tc 0.369 0.184 0.251 1
Tc4 Tc 0.631 0.816 0.751 1
Tc5 Tc 0.816 0.184 0.251 1
Tc6 Tc 0.816 0.631 0.251 1
```

Computed properties:
Calculated formation energy in meV/atom: -192
M_tot in μB per formula unit: 0.0
E_tot in eV per atom: -8.4954


2.
A plane-wave DFT calculation with PBE was carried out for a geometry-optimized Pr2ScPb2 structure.

```
data_Pr2ScPb2
_chemical_formula_sum 'Pr4 Sc2 Pb4'
_space_group_name_H-M_alt 'P 1'
_space_group_IT_number 1
_cell_length_a 9.502
_cell_length_b 9.502
_cell_length_c 6.617
_cell_angle_alpha 90.00
_cell_angle_beta 90.00
_cell_angle_gamma 148.88
loop_
_space_group_symop_operation_xyz
'x,y,z'
loop_
_atom_site_label
_atom_site_type_symbol
_atom_site_fract_x
_atom_site_fract_y
_atom_site_fract_z
_atom_site_occupancy
Pr1 Pr 0.000 0.000 0.000 1
Pr2 Pr 0.000 0.000 0.500 1
Pr3 Pr 0.198 0.802 0.751 1
Pr4 Pr 0.802 0.198 0.251 1
Sc1 Sc 0.401 0.599 0.750 1
Sc2 Sc 0.599 0.401 0.250 1
Pb1 Pb 0.179 0.821 0.251 1
Pb2 Pb 0.421 0.579 0.250 1
Pb3 Pb 0.579 0.421 0.750 1
Pb4 Pb 0.821 0.179 0.751 1
```

Computed properties:
Calculated formation energy in meV/atom: -467
M_tot in μB per formula unit: 0.0
E_tot in eV per atom: -5.1285


3.
A plane-wave DFT calculation with PBE was carried out for a geometry-optimized CeMg2Pb3 structure.

```
data_CeMg2Pb3
_chemical_formula_sum 'Ce2 Mg4 Pb6'
_space_group_name_H-M_alt 'P 1'
_space_group_IT_number 1
_cell_length_a 8.902
_cell_length_b 8.902
_cell_length_c 6.520
_cell_angle_alpha 90.00
_cell_angle_beta 90.00
_cell_angle_gamma 41.97
loop_
_space_group_symop_operation_xyz
'x,y,z'
loop_
_atom_site_label
_atom_site_type_symbol
_atom_site_fract_x
_atom_site_fract_y
_atom_site_fract_z
_atom_site_occupancy
Ce1 Ce 0.235 0.765 0.750 1
Ce2 Ce 0.765 0.235 0.250 1
Mg1 Mg 0.348 0.348 0.000 1
Mg2 Mg 0.348 0.348 0.500 1
Mg3 Mg 0.652 0.652 0.000 1
Mg4 Mg 0.652 0.652 0.500 1
Pb1 Pb 0.137 0.233 0.250 1
Pb2 Pb 0.233 0.137 0.750 1
Pb3 Pb 0.267 0.733 0.250 1
Pb4 Pb 0.733 0.267 0.750 1
Pb5 Pb 0.767 0.863 0.250 1
Pb6 Pb 0.863 0.767 0.750 1
```

Computed properties:
Calculated formation energy in meV/atom: -122
M_tot in μB per formula unit: 0.9
E above lowest polymorph in kJ/mol of atoms: 10.7
E_tot in eV per atom: -3.4968


4.
A plane-wave DFT calculation with PBE was carried out for a geometry-optimized La8Nd2Er3 structure.

```
data_La8Nd2Er3
_chemical_formula_sum 'La8 Nd2 Er3'
_space_group_name_H-M_alt 'P 1'
_space_group_IT_number 1
_cell_length_a 9.071
_cell_length_b 9.071
_cell_length_c 6.192
_cell_angle_alpha 107.52
_cell_angle_beta 107.52
_cell_angle_gamma 81.85
loop_
_space_group_symop_operation_xyz
'x,y,z'
loop_
_atom_site_label
_atom_site_type_symbol
_atom_site_fract_x
_atom_site_fract_y
_atom_site_fract_z
_atom_site_occupancy
La1 La 0.084 0.084 0.244 1
La2 La 0.101 0.575 0.847 1
La3 La 0.362 0.362 0.384 1
La4 La 0.425 0.899 0.153 1
La5 La 0.575 0.101 0.847 1
La6 La 0.638 0.638 0.616 1
La7 La 0.899 0.425 0.153 1
La8 La 0.916 0.916 0.756 1
Nd1 Nd 0.187 0.187 0.829 1
Nd2 Nd 0.813 0.813 0.171 1
Er1 Er 0.233 0.767 0.500 1
Er2 Er 0.500 0.500 0.000 1
Er3 Er 0.767 0.233 0.500 1
```

Computed properties:
Calculated formation energy in meV/atom: 137
M_tot in μB per formula unit: 0.0
E above lowest polymorph in kJ/mol of atoms: 0.0
E_tot in eV per atom: -4.6816


5.
A plane-wave DFT calculation with PBE was carried out for a geometry-optimized Pr6Dy7Y16 structure.

```
data_Pr6Dy7Y16
_chemical_formula_sum 'Pr6 Dy7 Y16'
_space_group_name_H-M_alt 'P 1'
_space_group_IT_number 1
_cell_length_a 11.266
_cell_length_b 11.266
_cell_length_c 11.266
_cell_angle_alpha 60.00
_cell_angle_beta 60.00
_cell_angle_gamma 60.00
loop_
_space_group_symop_operation_xyz
'x,y,z'
loop_
_atom_site_label
_atom_site_type_symbol
_atom_site_fract_x
_atom_site_fract_y
_atom_site_fract_z
_atom_site_occupancy
Pr1 Pr 0.229 0.229 0.771 1
Pr2 Pr 0.229 0.771 0.229 1
Pr3 Pr 0.229 0.771 0.771 1
Pr4 Pr 0.771 0.229 0.229 1
Pr5 Pr 0.771 0.229 0.771 1
Pr6 Pr 0.771 0.771 0.229 1
Dy1 Dy 0.000 0.000 0.500 1
Dy2 Dy 0.000 0.500 0.000 1
Dy3 Dy 0.000 0.500 0.500 1
Dy4 Dy 0.500 0.000 0.000 1
Dy5 Dy 0.500 0.000 0.500 1
Dy6 Dy 0.500 0.500 0.000 1
Dy7 Dy 0.500 0.500 0.500 1
Y1 Y 0.122 0.626 0.626 1
Y2 Y 0.151 0.151 0.151 1
Y3 Y 0.151 0.151 0.546 1
Y4 Y 0.151 0.546 0.151 1
Y5 Y 0.374 0.374 0.374 1
Y6 Y 0.374 0.374 0.878 1
Y7 Y 0.374 0.878 0.374 1
Y8 Y 0.454 0.849 0.849 1
Y9 Y 0.546 0.151 0.151 1
Y10 Y 0.626 0.122 0.626 1
Y11 Y 0.626 0.626 0.122 1
Y12 Y 0.626 0.626 0.626 1
Y13 Y 0.849 0.454 0.849 1
Y14 Y 0.849 0.849 0.454 1
Y15 Y 0.849 0.849 0.849 1
Y16 Y 0.878 0.374 0.374 1
```

Computed properties:
Calculated formation energy in meV/atom: 238
M_tot in μB per formula unit: 0.0
E_tot in eV per atom: -5.4285


6.
A plane-wave DFT calculation with PBE was carried out for a geometry-optimized LiSnRu3 structure.

```
data_LiSnRu3
_chemical_formula_sum 'Li1 Sn1 Ru3'
_space_group_name_H-M_alt 'P 1'
_space_group_IT_number 1
_cell_length_a 4.229
_cell_length_b 4.229
_cell_length_c 4.229
_cell_angle_alpha 90.00
_cell_angle_beta 90.00
_cell_angle_gamma 90.00
loop_
_space_group_symop_operation_xyz
'x,y,z'
loop_
_atom_site_label
_atom_site_type_symbol
_atom_site_fract_x
_atom_site_fract_y
_atom_site_fract_z
_atom_site_occupancy
Li1 Li 0.000 0.000 0.000 1
Sn1 Sn 0.500 0.500 0.500 1
Ru1 Ru 0.000 0.000 0.500 1
Ru2 Ru 0.000 0.500 0.000 1
Ru3 Ru 0.500 0.000 0.000 1
```

Computed properties:
Calculated formation energy in meV/atom: 826
M_tot in μB per formula unit: 2.0
E above lowest polymorph in kJ/mol of atoms: 0.0
E_tot in eV per atom: -5.9224


7.
A plane-wave DFT calculation with PBE was carried out for a geometry-optimized Fe2TcPt structure.

```
data_Fe2TcPt
_chemical_formula_sum 'Fe2 Tc1 Pt1'
_space_group_name_H-M_alt 'P 1'
_space_group_IT_number 1
_cell_length_a 8.798
_cell_length_b 8.798
_cell_length_c 8.798
_cell_angle_alpha 17.57
_cell_angle_beta 17.57
_cell_angle_gamma 17.57
loop_
_space_group_symop_operation_xyz
'x,y,z'
loop_
_atom_site_label
_atom_site_type_symbol
_atom_site_fract_x
_atom_site_fract_y
_atom_site_fract_z
_atom_site_occupancy
Fe1 Fe 0.248 0.248 0.248 1
Fe2 Fe 0.752 0.752 0.752 1
Tc1 Tc 0.500 0.500 0.500 1
Pt1 Pt 0.000 0.000 0.000 1
```

Computed properties:
Calculated formation energy in meV/atom: 26
M_tot in μB per formula unit: 4.3
E above lowest polymorph in kJ/mol of atoms: 7.4
E_tot in eV per atom: -8.3068


8.
A plane-wave DFT calculation with PBE was carried out for a geometry-optimized TiSb structure.

```
data_TiSb
_chemical_formula_sum 'Ti2 Sb2'
_space_group_name_H-M_alt 'P 1'
_space_group_IT_number 1
_cell_length_a 3.813
_cell_length_b 3.813
_cell_length_c 7.051
_cell_angle_alpha 90.00
_cell_angle_beta 90.00
_cell_angle_gamma 120.00
loop_
_space_group_symop_operation_xyz
'x,y,z'
loop_
_atom_site_label
_atom_site_type_symbol
_atom_site_fract_x
_atom_site_fract_y
_atom_site_fract_z
_atom_site_occupancy
Ti1 Ti 0.333 0.667 0.250 1
Ti2 Ti 0.667 0.333 0.750 1
Sb1 Sb 0.000 0.000 0.000 1
Sb2 Sb 0.000 0.000 0.500 1
```

Computed properties:
M_tot in μB per formula unit: 0.1
E_tot in eV per atom: -6.1831
Uncorrected formation energy in eV/f.u.: -0.35


9.
A plane-wave DFT calculation with PBE was carried out for a geometry-optimized ThTlPd structure.

```
data_ThTlPd
_chemical_formula_sum 'Th1 Tl1 Pd1'
_space_group_name_H-M_alt 'P 1'
_space_group_IT_number 1
_cell_length_a 4.905
_cell_length_b 4.905
_cell_length_c 3.463
_cell_angle_alpha 90.00
_cell_angle_beta 90.00
_cell_angle_gamma 120.00
loop_
_space_group_symop_operation_xyz
'x,y,z'
loop_
_atom_site_label
_atom_site_type_symbol
_atom_site_fract_x
_atom_site_fract_y
_atom_site_fract_z
_atom_site_occupancy
Th1 Th 0.000 0.000 0.000 1
Tl1 Tl 0.333 0.667 0.500 1
Pd1 Pd 0.667 0.333 0.500 1
```

Computed properties:
Calculated formation energy in meV/atom: -462
M_tot in μB per formula unit: 0.0
E_tot in eV per atom: -5.4546


10.
A plane-wave DFT calculation with PBE was carried out for a geometry-optimized Ce3CdCo structure.

```
data_Ce3CdCo
_chemical_formula_sum 'Ce6 Cd2 Co2'
_space_group_name_H-M_alt 'P 1'
_space_group_IT_number 1
_cell_length_a 3.467
_cell_length_b 10.873
_cell_length_c 6.831
_cell_angle_alpha 90.00
_cell_angle_beta 104.64
_cell_angle_gamma 90.00
loop_
_space_group_symop_operation_xyz
'x,y,z'
loop_
_atom_site_label
_atom_site_type_symbol
_atom_site_fract_x
_atom_site_fract_y
_atom_site_fract_z
_atom_site_occupancy
Ce1 Ce 0.024 0.250 0.044 1
Ce2 Ce 0.351 0.023 0.700 1
Ce3 Ce 0.351 0.477 0.700 1
Ce4 Ce 0.649 0.523 0.300 1
Ce5 Ce 0.649 0.977 0.300 1
Ce6 Ce 0.976 0.750 0.956 1
Cd1 Cd 0.251 0.750 0.507 1
Cd2 Cd 0.749 0.250 0.493 1
Co1 Co 0.000 0.000 0.000 1
Co2 Co 0.000 0.500 0.000 1
```

Computed properties:
Calculated formation energy in meV/atom: -94
M_tot in μB per formula unit: 1.6
E above lowest polymorph in kJ/mol of atoms: 2.4
E_tot in eV per atom: -5.2582